[1]
Density functional theory data (PBE-GGA) for a relaxed structure of PmPaNbN3.

Lattice parameters (Å, degrees): 7.2320 3.3424 8.2060 90.00 92.72 90.00
Positions (direct):
Pm1 0.1335 0.2500 0.1722
Pm2 0.8665 0.7500 0.8278
Pa1 0.3710 0.7500 0.8386
Pa2 0.6290 0.2500 0.1614
Nb1 0.1346 0.2500 0.5615
Nb2 0.8654 0.7500 0.4385
N1 0.1461 0.2500 0.8493
N2 0.1673 0.7500 0.4030
N3 0.4058 0.7500 0.1072
N4 0.5942 0.2500 0.8928
N5 0.8327 0.2500 0.5970
N6 0.8539 0.7500 0.1507

Properties
calculated total energy = -112.0 eV/cell
DOS at the Fermi energy = 2.59 states/eV/f.u.

=====

[2]
Density functional theory data (PBE-GGA) for a relaxed structure of Pm2PaNbN4.

Lattice parameters (Å, degrees): 5.8990 3.4479 6.0304 90.00 108.79 90.00
Positions (direct):
Pm1 0.0000 0.0000 0.0000
Pm2 0.5000 0.5000 0.0000
Pa1 0.0000 0.5000 0.5000
Nb1 0.5000 0.0000 0.5000
N1 0.2469 0.0000 0.7168
N2 0.2667 0.5000 0.2873
N3 0.7333 0.5000 0.7127
N4 0.7531 0.0000 0.2832

Properties
calculated total energy = -73.5 eV/cell
DOS at the Fermi energy = 3.23 states/eV/f.u.

=====

[3]
Density functional theory data (PBE-GGA) for a relaxed structure of Pm3Pa2NbN6.

Lattice parameters (Å, degrees): 6.0119 6.0119 6.0716 99.39 99.39 119.93
Positions (direct):
Pm1 0.0000 0.0000 0.0000
Pm2 0.3371 0.6629 0.0000
Pm3 0.6629 0.3371 0.0000
Pa1 0.1668 0.8332 0.5000
Pa2 0.8332 0.1668 0.5000
Nb1 0.5000 0.5000 0.5000
N1 0.0961 0.4281 0.2843
N2 0.2413 0.2413 0.7196
N3 0.4281 0.0961 0.2843
N4 0.5719 0.9039 0.7157
N5 0.7587 0.7587 0.2804
N6 0.9039 0.5719 0.7157

Properties
calculated total energy = -111.1 eV/cell
DOS at the Fermi energy = 3.34 states/eV/f.u.